(1)
The following is a meta-GGA SCAN calculation of LiZrTe2I at its PBEsol-relaxed geometry, from Alexandria via LeMat-Bulk.

Lattice parameters (Å, degrees): 5.5674 5.5674 5.7630 90.00 90.00 90.00
With the nearest neighbours (Å) after each atom.
Space group P4/mmm (No. 123)
Asymmetric unit:
1 Li 0.0000 0.0000 0.0000  4 I 3.94, 8 Te 4.01
2 Zr 0.5000 0.5000 0.5000  4 Te 2.78, 2 I 2.88
3 Te 0.0000 0.5000 0.5000  2 Zr 2.78
4 I 0.5000 0.5000 0.0000  2 Zr 2.88

Values from the calculation:
Energy relative to the elements, uncorrected = -58 kJ/mol of atoms
Final energy = -147.320 eV/f.u.


(2)
The following is a meta-GGA SCAN calculation of LiWI2 at its PBEsol-relaxed geometry, from Alexandria via LeMat-Bulk.

Lattice parameters (Å, degrees): 6.8040 6.8040 6.8040 90.00 90.00 90.00
With the nearest neighbours (Å) after each atom.
Space group Fm-3m (No. 225)
Asymmetric unit:
1 Li 0.0000 0.0000 0.0000  8 I 2.95
2 W 0.0000 0.0000 0.5000  8 I 2.95
3 I 0.2500 0.2500 0.2500  4 Li 2.95, 4 W 2.95

Values from the calculation:
Energy relative to the elements, uncorrected = 78 kJ/mol of atoms
Final energy = -142.329 eV/f.u.


(3)
The following is a meta-GGA SCAN calculation of LiY3I at its PBEsol-relaxed geometry, from Alexandria via LeMat-Bulk.

Lattice parameters (Å, degrees): 5.6100 5.6100 5.6100 90.00 90.00 90.00
With the nearest neighbours (Å) after each atom.
Space group Pm-3m (No. 221)
Asymmetric unit:
1 Li 0.0000 0.0000 0.0000  12 Y 3.97
2 Y 0.0000 0.5000 0.5000  2 I 2.80
3 I 0.5000 0.5000 0.5000  6 Y 2.80

Values from the calculation:
Energy relative to the elements, uncorrected = 23 kJ/mol of atoms
Final energy = -121.472 eV/f.u.


(4)
The following is a meta-GGA SCAN calculation of LiYI3 at its PBEsol-relaxed geometry, from Alexandria via LeMat-Bulk.

Lattice parameters (Å, degrees): 5.9166 5.9166 5.9166 90.00 90.00 90.00
With the nearest neighbours (Å) after each atom.
Space group Pm-3m (No. 221)
Asymmetric unit:
1 Li 0.0000 0.0000 0.0000  12 I 4.18
2 Y 0.5000 0.5000 0.5000  6 I 2.96
3 I 0.0000 0.5000 0.5000  2 Y 2.96

Values from the calculation:
Energy relative to the elements, uncorrected = -92 kJ/mol of atoms
Final energy = -145.210 eV/f.u.


(5)
The following is a meta-GGA SCAN calculation of LiZn2I at its PBEsol-relaxed geometry, from Alexandria via LeMat-Bulk.

Lattice parameters (Å, degrees): 7.3654 7.3654 7.3654 90.00 90.00 90.00
With the nearest neighbours (Å) after each atom.
Space group Fm-3m (No. 225)
Asymmetric unit:
1 Li 0.0000 0.0000 0.0000  8 Zn 3.19
2 Zn 0.2500 0.2500 0.2500  4 Li 3.19, 4 I 3.19
3 I 0.0000 0.0000 0.5000  8 Zn 3.19

Values from the calculation:
Energy relative to the elements, uncorrected = 33 kJ/mol of atoms
Final energy = -64.812 eV/f.u.


(6)
The following is a meta-GGA SCAN calculation of LuI3O9 at its PBEsol-relaxed geometry, from Alexandria via LeMat-Bulk.

Lattice parameters (Å, degrees): 8.5160 5.8805 15.9653 90.00 114.59 90.00
With the nearest neighbours (Å) after each atom.
Space group P2_1/c (No. 14)
Asymmetric unit:
1 Lu 0.1463 0.2103 0.1036  7 O 2.22-2.34
2 I 0.0789 0.1854 0.3550  3 O 1.81-1.86
3 I 0.3591 0.6577 0.5223  3 O 1.85-1.88
4 I 0.4185 0.6033 0.7974  3 O 1.83-1.85
5 O 0.0574 0.0679 0.6890  1 I 1.84
6 O 0.0997 0.6055 0.6726  1 I 1.86
7 O 0.1220 0.1229 0.4739  1 I 1.81
8 O 0.1241 0.6192 0.4871  1 I 1.85
9 O 0.3417 0.5914 0.8901  1 I 1.85
10 O 0.3426 0.1852 0.2574  1 I 1.83
11 O 0.3557 0.0736 0.9404  1 I 1.88
12 O 0.3574 0.0076 0.6364  1 I 1.84
13 O 0.3941 0.0273 0.1226  1 I 1.85

Values from the calculation:
Energy relative to the elements, uncorrected = -108 kJ/mol of atoms
Final energy = -236.231 eV/f.u.


(7)
The following is a meta-GGA SCAN calculation of MgMnI2 at its PBEsol-relaxed geometry, from Alexandria via LeMat-Bulk.

Lattice parameters (Å, degrees): 7.3533 7.3533 7.3533 90.00 90.00 90.00
With the nearest neighbours (Å) after each atom.
Space group Fm-3m (No. 225)
Asymmetric unit:
1 Mg 0.0000 0.0000 0.0000  8 I 3.18
2 Mn 0.0000 0.0000 0.5000  8 I 3.18
3 I 0.2500 0.2500 0.2500  4 Mn 3.18, 4 Mg 3.18

Values from the calculation:
Energy relative to the elements, uncorrected = 3 kJ/mol of atoms
Final energy = -96.605 eV/f.u.


(8)
The following is a meta-GGA SCAN calculation of MgMnPd2I at its PBEsol-relaxed geometry, from Alexandria via LeMat-Bulk.

Lattice parameters (Å, degrees): 4.6622 4.6622 4.9537 90.00 90.00 90.00
With the nearest neighbours (Å) after each atom.
Space group P4/mmm (No. 123)
Asymmetric unit:
1 Mg 0.0000 0.0000 0.0000  4 Pd 2.33, 2 Mn 2.48
2 Mn 0.0000 0.0000 0.5000  2 Mg 2.48
3 Pd 0.0000 0.5000 0.0000  2 Mg 2.33
4 I 0.5000 0.5000 0.5000  4 Mn 3.30, 8 Pd 3.40

Values from the calculation:
Energy relative to the elements, uncorrected = 54 kJ/mol of atoms
Final energy = -122.737 eV/f.u.


(9)
The following is a meta-GGA SCAN calculation of MgMoI2 at its PBEsol-relaxed geometry, from Alexandria via LeMat-Bulk.

Lattice parameters (Å, degrees): 6.9686 6.9686 6.9686 90.00 90.00 90.00
With the nearest neighbours (Å) after each atom.
Space group Fm-3m (No. 225)
Asymmetric unit:
1 Mg 0.0000 0.0000 0.0000  8 I 3.02
2 Mo 0.0000 0.0000 0.5000  8 I 3.02
3 I 0.2500 0.2500 0.2500  4 Mo 3.02, 4 Mg 3.02

Values from the calculation:
Energy relative to the elements, uncorrected = 68 kJ/mol of atoms
Final energy = -110.526 eV/f.u.


(10)
The following is a meta-GGA SCAN calculation of Mg2MoI at its PBEsol-relaxed geometry, from Alexandria via LeMat-Bulk.

Lattice parameters (Å, degrees): 7.0108 7.0108 7.0108 90.00 90.00 90.00
With the nearest neighbours (Å) after each atom.
Space group Fm-3m (No. 225)
Asymmetric unit:
1 Mg 0.2500 0.2500 0.2500  4 Mo 3.04, 4 I 3.04
2 Mo 0.0000 0.0000 0.0000  8 Mg 3.04
3 I 0.0000 0.0000 0.5000  8 Mg 3.04

Values from the calculation:
Energy relative to the elements, uncorrected = 92 kJ/mol of atoms
Final energy = -77.757 eV/f.u.


(11)
The following is a meta-GGA SCAN calculation of MgMoIN2 at its PBEsol-relaxed geometry, from Alexandria via LeMat-Bulk.

Lattice parameters (Å, degrees): 3.9594 3.9594 5.5979 90.00 90.00 90.00
With the nearest neighbours (Å) after each atom.
Space group P4/mmm (No. 123)
Asymmetric unit:
1 Mg 0.0000 0.0000 0.0000  4 I 2.80
2 Mo 0.5000 0.5000 0.5000  4 N 1.98
3 I 0.5000 0.5000 0.0000  2 Mo 2.80, 4 Mg 2.80
4 N 0.0000 0.5000 0.5000  2 Mo 1.98

Values from the calculation:
Energy relative to the elements, uncorrected = 40 kJ/mol of atoms
Final energy = -93.087 eV/f.u.


(12)
The following is a meta-GGA SCAN calculation of MgI2N at its PBEsol-relaxed geometry, from Alexandria via LeMat-Bulk.

Lattice parameters (Å, degrees): 7.3649 7.3649 7.3649 90.00 90.00 90.00
With the nearest neighbours (Å) after each atom.
Space group Fm-3m (No. 225)
Asymmetric unit:
1 Mg 0.0000 0.0000 0.0000  8 I 3.19
2 I 0.2500 0.2500 0.2500  4 Mg 3.19, 4 N 3.19
3 N 0.0000 0.0000 0.5000  8 I 3.19

Values from the calculation:
Energy relative to the elements, uncorrected = 62 kJ/mol of atoms
Final energy = -85.187 eV/f.u.